[1]
Compound: NiHgAsAu
Source: the Open Quantum Materials Database
Functional: PBE-GGA
Structure: optimized geometry

Cell and atoms, written as POSCAR:
```
NiHgAsAu
1.0
-0.9024 3.0903 3.3431
-2.4223 3.8362 -0.9783
-4.3276 0.4845 1.6057
Ni As Hg Au
1 1 1 1
direct
0.5000 0.5000 0.5000
0.0000 0.0000 0.0000
0.2500 0.2500 0.2500
0.7500 0.7500 0.7500
```

Calculated values
E   -12.24 eV per cell
SG   No. 216

[2]
Compound: HgAsAuO
Source: the Open Quantum Materials Database
Functional: PBE-GGA
Structure: optimized geometry

Cell and atoms, written as POSCAR:
```
HgAsAuO
1.0
-0.2783 0.7958 3.6668
-7.4885 1.3935 -0.8708
-1.1276 -5.3827 1.0826
Au O Hg As
2 2 2 2
direct
0.0000 0.7938 0.9370
0.0000 0.2062 0.4370
0.5000 0.6198 0.9400
0.5000 0.3802 0.4400
0.5000 0.3399 0.0039
0.5000 0.6601 0.5039
0.0000 0.8924 0.3732
0.0000 0.1076 0.8732
```

Calculated values
E   -25.24 eV per cell
SG   No. 26

[3]
Compound: HgAsAuO
Source: the Open Quantum Materials Database
Functional: PBE-GGA
Structure: optimized geometry

Cell and atoms, written as POSCAR:
```
HgAsAuO
1.0
4.3744 0.0000 0.0000
0.0000 4.3744 0.0000
0.0000 0.0000 8.1668
As Au Hg O
2 2 2 2
direct
0.0000 0.5000 0.6747
0.5000 0.0000 0.3253
0.5000 0.5000 0.5000
0.0000 0.0000 0.5000
0.5000 0.0000 0.9066
0.0000 0.5000 0.0934
0.5000 0.5000 0.0000
0.0000 0.0000 0.0000
```

Calculated values
E   -24.88 eV per cell
SG   No. 129

[4]
Compound: HgAsAuO
Source: the Open Quantum Materials Database
Functional: PBE-GGA
Structure: optimized geometry

Cell and atoms, written as POSCAR:
```
HgAsAuO
1.0
-0.5054 4.2610 1.3331
-3.4374 -1.2275 2.6203
5.2086 -1.3256 6.2117
Au As Hg O
2 2 2 2
direct
0.2500 0.2500 0.0141
0.7500 0.7500 0.9859
0.2500 0.2500 0.6948
0.7500 0.7500 0.3052
0.2500 0.7500 0.5000
0.7500 0.2500 0.5000
0.2500 0.7500 0.0000
0.7500 0.2500 0.0000
```

Calculated values
E   -23.17 eV per cell
SG   No. 129

[5]
Compound: HgAsAuO
Source: the Open Quantum Materials Database
Functional: PBE-GGA
Structure: optimized geometry

Cell and atoms, written as POSCAR:
```
HgAsAuO
1.0
3.3010 0.0000 0.0000
0.0000 7.2488 0.0000
0.0000 0.0000 6.2331
Hg As Au O
2 2 2 2
direct
0.0000 0.8543 0.5649
0.0000 0.1457 0.0649
0.0000 0.5624 0.8162
0.0000 0.4376 0.3162
0.5000 0.2846 0.5701
0.5000 0.7154 0.0701
0.5000 0.0733 0.8028
0.5000 0.9267 0.3028
```

Calculated values
E   -25.72 eV per cell
SG   No. 26

[6]
Compound: HgAsPdAu
Source: the Open Quantum Materials Database
Functional: PBE-GGA
Structure: optimized geometry

Cell and atoms, written as POSCAR:
```
HgAsPdAu
1.0
-2.8972 -2.9150 2.3178
-4.3012 1.4662 1.2701
-3.8183 -1.7396 -2.1581
As Au Pd Hg
1 1 1 1
direct
0.5000 0.5000 0.5000
0.7500 0.7500 0.7500
0.2500 0.2500 0.2500
0.0000 0.0000 0.0000
```

Calculated values
E   -12.96 eV per cell
SG   No. 216

[7]
Compound: HgAsPtAu
Source: the Open Quantum Materials Database
Functional: PBE-GGA
Structure: optimized geometry

Cell and atoms, written as POSCAR:
```
HgAsPtAu
1.0
0.0000 3.3325 3.3325
3.3325 0.0000 3.3325
3.3325 3.3325 0.0000
Hg Pt As Au
1 1 1 1
direct
0.0000 0.0000 0.0000
0.2500 0.2500 0.2500
0.5000 0.5000 0.5000
0.7500 0.7500 0.7500
```

Calculated values
E   -13.36 eV per cell
SG   No. 216

[8]
Compound: HoAsAu
Source: the Open Quantum Materials Database
Functional: PBE-GGA
Structure: optimized geometry

Cell and atoms, written as POSCAR:
```
HoAsAu
1.0
0.0000 3.2918 3.2918
3.2918 0.0000 3.2918
3.2918 3.2918 0.0000
Ho Au As
1 1 1
direct
0.7500 0.7500 0.7500
0.0000 0.0000 0.0000
0.2500 0.2500 0.2500
```

Calculated values
E   -14.50 eV per cell
SG   No. 216

[9]
Compound: AsAuI6
Source: the Open Quantum Materials Database
Functional: PBE-GGA
Structure: optimized geometry

Cell and atoms, written as POSCAR:
```
AsAuI6
1.0
0.0000 5.4224 5.4224
5.4224 0.0000 5.4224
5.4224 5.4224 0.0000
Au I As
1 6 1
direct
0.2500 0.2500 0.2500
0.7434 0.7434 0.2566
0.7434 0.2566 0.7434
0.7434 0.2566 0.2566
0.2566 0.2566 0.7434
0.2566 0.7434 0.7434
0.2566 0.7434 0.2566
0.0000 0.0000 0.0000
```

Calculated values
E   -14.41 eV per cell
SG   No. 216

[10]
Compound: InAs2Au
Source: the Open Quantum Materials Database
Functional: PBE-GGA
Structure: optimized geometry

Cell and atoms, written as POSCAR:
```
InAs2Au
1.0
0.0000 3.4550 3.4550
3.4550 0.0000 3.4550
3.4550 3.4550 0.0000
In Au As
1 1 2
direct
0.5000 0.5000 0.5000
0.2500 0.2500 0.2500
0.0000 0.0000 0.0000
0.7500 0.7500 0.7500
```

Calculated values
E   -14.29 eV per cell
SG   No. 216

[11]
Compound: InAsIrAu
Source: the Open Quantum Materials Database
Functional: PBE-GGA
Structure: optimized geometry

Cell and atoms, written as POSCAR:
```
InAsIrAu
1.0
0.0000 3.3058 3.3058
3.3058 0.0000 3.3058
3.3058 3.3058 0.0000
Au In As Ir
1 1 1 1
direct
0.7500 0.7500 0.7500
0.0000 0.0000 0.0000
0.5000 0.5000 0.5000
0.2500 0.2500 0.2500
```

Calculated values
E   -18.47 eV per cell
SG   No. 216

[12]
Compound: Li4InAsAu2
Source: the Open Quantum Materials Database
Functional: PBE-GGA
Structure: optimized geometry

Cell and atoms, written as POSCAR:
```
Li4InAsAu2
1.0
-0.7262 -3.1987 -2.7583
-2.1417 -2.1334 3.0378
-6.0021 3.1213 -2.0395
Au Li In As
2 4 1 1
direct
0.0000 0.5000 0.7550
0.5000 0.0000 0.2450
0.0000 0.5000 0.2230
0.0000 0.0000 0.5000
0.5000 0.0000 0.7770
0.5000 0.5000 0.0000
0.5000 0.5000 0.5000
0.0000 0.0000 0.0000
```

Calculated values
E   -25.77 eV per cell
SG   No. 115

What did the first record say?
Compound: NiHgAsAu
Source: the Open Quantum Materials Database
Functional: PBE-GGA
Structure: optimized geometry

Cell and atoms, written as POSCAR:
```
NiHgAsAu
1.0
-0.9024 3.0903 3.3431
-2.4223 3.8362 -0.9783
-4.3276 0.4845 1.6057
Ni As Hg Au
1 1 1 1
direct
0.5000 0.5000 0.5000
0.0000 0.0000 0.0000
0.2500 0.2500 0.2500
0.7500 0.7500 0.7500
```

Calculated values
E   -12.24 eV per cell
SG   No. 216

Q: Which formula does entry 2 have?
A: HgAsAuO

Q: Among the records above, which one has the lowest E?
A: Li4InAsAu2